This record from Alexandria via LeMat-Bulk describes a geometry-optimized Cd3Rh structure. The functional is PBE.

Structure (extended XYZ):
```
16
Lattice="6.937 0.000 0.000 0.000 6.937 0.000 0.000 0.000 7.494" Properties=species:S:1:pos:R:3 pbc="T T T"
Cd 2.357 4.580 1.956
Cd 5.825 5.825 5.703
Cd 1.111 1.111 1.791
Cd 4.580 2.357 1.956
Cd 2.357 4.580 5.537
Cd 0.000 3.468 3.747
Cd 0.000 3.468 0.000
Cd 5.825 5.825 1.791
Cd 3.468 0.000 3.747
Cd 4.580 2.357 5.537
Cd 3.468 0.000 0.000
Cd 1.111 1.111 5.703
Rh 4.381 4.381 0.000
Rh 0.913 6.024 3.747
Rh 6.024 0.913 3.747
Rh 2.556 2.556 0.000
```

## Properties
As for the total magnetization: 0.0000 μB per atom. The energy of formation from the pure elements comes out at -128 meV/atom. Its space group is No. 136.